# Mg2Cd3Ga3 GGA-PBE relaxed
data_Mg2Cd3Ga3
_chemical_formula_sum 'Mg2 Cd3 Ga3'
_cell_length_a 4.4179
_cell_length_b 4.4561
_cell_length_c 8.3322
_cell_angle_alpha 90.00
_cell_angle_beta 90.00
_cell_angle_gamma 90.00
_space_group_name_H-M_alt 'P m m m'
_space_group_IT_number 47
loop_
_space_group_symop_operation_xyz
'x,y,z'
'-x,-y,-z'
'-x,-y,z'
'x,y,-z'
'x,-y,-z'
'-x,y,z'
'-x,y,-z'
'x,-y,z'
loop_
_atom_site_label
_atom_site_type_symbol
_atom_site_fract_x
_atom_site_fract_y
_atom_site_fract_z
_atom_site_occupancy
Mg1 Mg 0.0000 0.0000 0.2402 1
Cd1 Cd 0.5000 0.0000 0.5000 1
Cd2 Cd 0.5000 0.5000 0.2464 1
Ga1 Ga 0.0000 0.5000 0.0000 1
Ga2 Ga 0.0000 0.5000 0.5000 1
Ga3 Ga 0.5000 0.0000 0.0000 1
# Raw total energy, eV/atom: -1.93

---

# Mg6Cd5Ga GGA-PBE relaxed
data_Mg6Cd5Ga
_chemical_formula_sum 'Mg6 Cd5 Ga1'
_cell_length_a 5.1687
_cell_length_b 6.4001
_cell_length_c 7.7811
_cell_angle_alpha 90.00
_cell_angle_beta 97.58
_cell_angle_gamma 90.00
_space_group_name_H-M_alt 'P 1 2/m 1'
_space_group_IT_number 10
loop_
_space_group_symop_operation_xyz
'x,y,z'
'-x,-y,-z'
'-x,y,-z'
'x,-y,z'
loop_
_atom_site_label
_atom_site_type_symbol
_atom_site_fract_x
_atom_site_fract_y
_atom_site_fract_z
_atom_site_occupancy
Mg1 Mg 0.0000 0.2446 0.0000 1
Mg2 Mg 0.3398 0.2479 0.6711 1
Cd1 Cd 0.1635 0.0000 0.3361 1
Cd2 Cd 0.1638 0.5000 0.3361 1
Cd3 Cd 0.5000 0.5000 0.0000 1
Ga1 Ga 0.5000 0.0000 0.0000 1
# Raw total energy, eV/atom: -1.53

---

Among the records above, which one has the highest raw total energy?
Mg6Cd5Ga

---

Look up the raw total energy of the first one.
-1.93 eV/atom

---

Among the records above, which one has the highest raw total energy?
Mg6Cd5Ga

---

Which value of raw total energy does entry 1 give?
-1.93 eV/atom